Below is a relaxed structure of Sr2CaLa, with properties calculated at the PBE-GGA level.

Output
Formation energy from the elements: 0.11 eV/atom

Cell and atoms, written as CIF:
```
data_Sr2CaLa
_space_group_name_H-M_alt 'P 1 m 1'
_space_group_IT_number 6
_cell_length_a 3.851
_cell_length_b 6.373
_cell_length_c 7.528
_cell_angle_alpha 90.00
_cell_angle_beta 100.68
_cell_angle_gamma 90.00
loop_
_space_group_symop_operation_xyz
'x,y,z'
'x,-y,z'
loop_
_atom_site_label
_atom_site_fract_x
_atom_site_fract_y
_atom_site_fract_z
Sr1 0.000 0.000 0.000
Sr2 0.248 0.500 0.736
Ca1 0.767 0.500 0.254
La1 0.504 0.000 0.489
```

Below is a relaxed structure of ErB4Ru4, with properties calculated at the PBE-GGA level.

Output
Formation energy from the elements: -0.45 eV/atom

Cell and atoms, written as CIF:
```
data_ErB4Ru4
_space_group_name_H-M_alt 'P 42/n m c'
_space_group_IT_number 137
_cell_length_a 5.363
_cell_length_b 5.363
_cell_length_c 7.334
_cell_angle_alpha 90.00
_cell_angle_beta 90.00
_cell_angle_gamma 90.00
loop_
_space_group_symop_operation_xyz
'x,y,z'
'-x,-y,-z'
'-y+1/2,x,z+1/2'
'y+1/2,-x,-z+1/2'
'-x+1/2,-y+1/2,z'
'x+1/2,y+1/2,-z'
'y,-x+1/2,z+1/2'
'-y,x+1/2,-z+1/2'
'x+1/2,-y,-z'
'-x+1/2,y,z'
'-y,-x,-z+1/2'
'y,x,z+1/2'
'-x,y+1/2,-z'
'x,-y+1/2,z'
'y+1/2,x+1/2,-z+1/2'
'-y+1/2,-x+1/2,z+1/2'
loop_
_atom_site_label
_atom_site_fract_x
_atom_site_fract_y
_atom_site_fract_z
Er1 0.250 0.750 0.250
B1 0.078 0.250 0.100
Ru1 0.005 0.750 0.610
```

Below is a relaxed structure of Rb3Tm3NbSe8, with properties calculated at the PBE-GGA level.

Output
Uncorrected formation energy: -1.496 eV per atom

Cell and atoms, written as CIF:
```
data_Rb3Tm3NbSe8
_space_group_name_H-M_alt 'R -3 m'
_space_group_IT_number 166
_space_group_name_Hall '-R 3 2"'
_cell_length_a 8.1119
_cell_length_b 8.1119
_cell_length_c 24.5236
_cell_angle_alpha 90.00
_cell_angle_beta 90.00
_cell_angle_gamma 120.00
loop_
_atom_site_label
_atom_site_fract_x
_atom_site_fract_y
_atom_site_fract_z
Rb1 0.0000 0.5000 0.0000
Tm1 0.0000 0.5000 0.5000
Nb1 0.0000 0.0000 0.5000
Se1 0.0000 0.0000 0.2314
Se2 0.0167 0.5083 0.2288
```

Below is a relaxed structure of LaZnAs2O8, with properties calculated at the PBE-GGA level.

Output
Uncorrected formation energy: -1.566 eV per atom

Cell and atoms, written as CIF:
```
data_LaZnAs2O8
_space_group_name_H-M_alt 'I -4 m 2'
_space_group_IT_number 119
_space_group_name_Hall 'I -4 -2'
_cell_length_a 7.262
_cell_length_b 7.262
_cell_length_c 6.440
_cell_angle_alpha 90.00
_cell_angle_beta 90.00
_cell_angle_gamma 90.00
loop_
_atom_site_label
_atom_site_fract_x
_atom_site_fract_y
_atom_site_fract_z
La1 0.000 0.000 0.000
Zn1 0.000 0.500 0.250
As1 0.000 0.000 0.500
As2 0.000 0.500 0.750
O1 0.000 0.187 0.333
O2 0.000 0.324 0.928
```